Arrangement one

Fe2Ir7Os2: optimized geometry, GGA-PBE.

Cell lengths 5.0935, 5.0935, 6.3603 Å; angles 97.23, 97.23, 90.46 degrees
Atoms (fractional coordinates):
Fe1 0.0919 0.0919 0.3644
Fe2 0.9081 0.9081 0.6356
Ir1 0.0037 0.5829 0.3146
Ir2 0.1892 0.1892 0.0171
Ir3 0.4171 0.9963 0.6854
Ir4 0.5000 0.5000 0.5000
Ir5 0.5829 0.0037 0.3146
Ir6 0.8108 0.8108 0.9829
Ir7 0.9963 0.4171 0.6854
Os1 0.3240 0.6760 0.0000
Os2 0.6760 0.3240 0.0000

Summary:
Total magnetization = 4.2 μB/cell
N(E_F) = 12.34 states/eV/f.u.

***

Arrangement two

Fe2Ir7Os2: optimized geometry, GGA-PBE.

Cell lengths 6.0567, 6.0567, 4.7174 Å; angles 97.20, 97.20, 81.21 degrees
Atoms (fractional coordinates):
Fe1 0.1815 0.8185 0.0000
Fe2 0.8185 0.1815 0.0000
Ir1 0.0000 0.0000 0.5000
Ir2 0.0469 0.4039 0.7444
Ir3 0.4039 0.0469 0.7444
Ir4 0.4602 0.4602 0.7325
Ir5 0.5397 0.5397 0.2675
Ir6 0.5961 0.9531 0.2556
Ir7 0.9531 0.5961 0.2556
Os1 0.2352 0.2352 0.2461
Os2 0.7648 0.7648 0.7539

Summary:
Total magnetization = 5.1 μB/cell
N(E_F) = 10.78 states/eV/f.u.

***

Pick arrangement two: it beats the second-best structure by 0.012 eV/atom.

***

Arrangement one

FeIr4Os: optimized geometry, GGA-PBE.

Cell lengths 5.1012, 5.1012, 5.1012 Å; angles 60.00, 60.00, 60.00 degrees
Atoms (fractional coordinates):
Fe1 0.0000 0.0000 0.0000
Ir1 0.3749 0.3749 0.3749
Ir2 0.3749 0.3749 0.8752
Ir3 0.3749 0.8752 0.3749
Ir4 0.8752 0.3749 0.3749
Os1 0.7500 0.7500 0.7500

Summary:
Total magnetization = 1.7 μB/cell
N(E_F) = 7.65 states/eV/f.u.

***

Arrangement two

FeIr4Os: optimized geometry, GGA-PBE.

Cell lengths 7.1737, 7.1737, 8.7815 Å; angles 90.00, 90.00, 158.03 degrees
Atoms (fractional coordinates):
Fe1 0.1660 0.8340 0.5000
Fe2 0.8340 0.1660 0.0000
Ir1 0.0571 0.9429 0.7438
Ir2 0.1732 0.8268 0.9966
Ir3 0.3854 0.6146 0.7543
Ir4 0.4994 0.5006 0.9966
Ir5 0.5006 0.4994 0.4966
Ir6 0.6146 0.3854 0.2543
Ir7 0.8268 0.1732 0.4966
Ir8 0.9429 0.0571 0.2438
Os1 0.2778 0.7222 0.2471
Os2 0.7222 0.2778 0.7471

Summary:
Total magnetization = 4.1 μB/cell
N(E_F) = 6.31 states/eV/f.u.

***

Pick arrangement two: it beats the second-best structure by 0.680 eV/atom.

***

Arrangement one

Fe2IrOs2: optimized geometry, GGA-PBE.

Cell lengths 7.0871, 7.0871, 2.6828 Å; angles 90.00, 90.00, 90.00 degrees
Atoms (fractional coordinates):
Fe1 0.1683 0.3317 0.0000
Fe2 0.3317 0.8317 0.0000
Fe3 0.6683 0.1683 0.0000
Fe4 0.8317 0.6683 0.0000
Ir1 0.0000 0.0000 0.5000
Ir2 0.5000 0.5000 0.5000
Os1 0.1275 0.6275 0.5000
Os2 0.3725 0.1275 0.5000
Os3 0.6275 0.8725 0.5000
Os4 0.8725 0.3725 0.5000

Summary:
Total magnetization = 3.8 μB/cell
N(E_F) = 5.95 states/eV/f.u.

***

Arrangement two

Fe2IrOs2: optimized geometry, GGA-PBE.

Cell lengths 6.9850, 6.9850, 2.6772 Å; angles 90.00, 90.00, 90.00 degrees
Atoms (fractional coordinates):
Fe1 0.1205 0.3795 0.0000
Fe2 0.3795 0.8795 0.0000
Fe3 0.6205 0.1205 0.0000
Fe4 0.8795 0.6205 0.0000
Ir1 0.0000 0.0000 0.0000
Ir2 0.5000 0.5000 0.0000
Os1 0.1740 0.6740 0.5000
Os2 0.3260 0.1740 0.5000
Os3 0.6740 0.8260 0.5000
Os4 0.8260 0.3260 0.5000

Summary:
Total magnetization = 0.0 μB/cell
N(E_F) = 4.78 states/eV/f.u.

***

Pick arrangement two: it beats the second-best structure by 0.128 eV/atom.

***

Arrangement one

FeIr6Os2: optimized geometry, GGA-PBE.

Cell lengths 6.7048, 6.7048, 6.7048 Å; angles 46.42, 46.42, 46.42 degrees
Atoms (fractional coordinates):
Fe1 0.0000 0.0000 0.0000
Ir1 0.2395 0.7196 0.7196
Ir2 0.4437 0.9346 0.9346
Ir3 0.7196 0.2395 0.7196
Ir4 0.7196 0.7196 0.2395
Ir5 0.9346 0.4437 0.9346
Ir6 0.9346 0.9346 0.4437
Os1 0.2647 0.2647 0.2647
Os2 0.3928 0.3928 0.3928

Summary:
Total magnetization = 2.1 μB/cell
N(E_F) = 10.33 states/eV/f.u.

***

Arrangement two

FeIr6Os2: optimized geometry, GGA-PBE.

Cell lengths 4.7061, 4.7061, 8.1830 Å; angles 107.19, 107.19, 48.03 degrees
Atoms (fractional coordinates):
Fe1 0.0000 0.0000 0.0000
Ir1 0.9995 0.9995 0.3311
Ir2 0.0005 0.0005 0.6689
Ir3 0.3311 0.3311 0.4402
Ir4 0.3377 0.3377 0.7881
Ir5 0.6623 0.6623 0.2119
Ir6 0.6689 0.6689 0.5598
Os1 0.3294 0.3294 0.1078
Os2 0.6706 0.6706 0.8922

Summary:
Total magnetization = 1.2 μB/cell
N(E_F) = 8.06 states/eV/f.u.

***

Pick arrangement two: it beats the second-best structure by 0.449 eV/atom.

***

Arrangement one

Fe2Ir2Os: optimized geometry, GGA-PBE.

Cell lengths 6.9814, 6.9814, 2.7201 Å; angles 90.00, 90.00, 90.00 degrees
Atoms (fractional coordinates):
Fe1 0.1189 0.3811 0.0000
Fe2 0.3811 0.8811 0.0000
Fe3 0.6189 0.1189 0.0000
Fe4 0.8811 0.6189 0.0000
Ir1 0.1770 0.6770 0.5000
Ir2 0.3230 0.1770 0.5000
Ir3 0.6770 0.8230 0.5000
Ir4 0.8230 0.3230 0.5000
Os1 0.0000 0.0000 0.0000
Os2 0.5000 0.5000 0.0000

Summary:
Total magnetization = 5.2 μB/cell
N(E_F) = 6.02 states/eV/f.u.

***

Arrangement two

Fe2Ir2Os: optimized geometry, GGA-PBE.

Cell lengths 7.1326, 7.1326, 2.7102 Å; angles 90.00, 90.00, 90.00 degrees
Atoms (fractional coordinates):
Fe1 0.1691 0.3309 0.0000
Fe2 0.3309 0.8309 0.0000
Fe3 0.6691 0.1691 0.0000
Fe4 0.8309 0.6691 0.0000
Ir1 0.1300 0.6300 0.5000
Ir2 0.3700 0.1300 0.5000
Ir3 0.6300 0.8700 0.5000
Ir4 0.8700 0.3700 0.5000
Os1 0.0000 0.0000 0.5000
Os2 0.5000 0.5000 0.5000

Summary:
Total magnetization = 8.2 μB/cell
N(E_F) = 6.20 states/eV/f.u.

***

Pick arrangement one: it beats the second-best structure by 0.051 eV/atom.

***

Arrangement one

Fe2PIr2: optimized geometry, GGA-PBE.

Cell lengths 7.2646, 7.2646, 2.6784 Å; angles 90.00, 90.00, 90.00 degrees
Atoms (fractional coordinates):
Fe1 0.1214 0.3786 0.0000
Fe2 0.3786 0.8786 0.0000
Fe3 0.6214 0.1214 0.0000
Fe4 0.8786 0.6214 0.0000
P1 0.0000 0.0000 0.5000
P2 0.5000 0.5000 0.5000
Ir1 0.1720 0.6720 0.5000
Ir2 0.3280 0.1720 0.5000
Ir3 0.6720 0.8280 0.5000
Ir4 0.8280 0.3280 0.5000

Summary:
Total magnetization = 10.2 μB/cell
N(E_F) = 5.19 states/eV/f.u.

***

Arrangement two

Fe2PIr2: optimized geometry, GGA-PBE.

Cell lengths 7.1420, 7.1420, 7.1420 Å; angles 154.37, 154.37, 36.57 degrees
Atoms (fractional coordinates):
Fe1 0.2500 0.7500 0.5000
Fe2 0.7500 0.2500 0.5000
P1 0.0000 0.0000 0.0000
Ir1 0.4011 0.4011 0.0000
Ir2 0.5989 0.5989 0.0000

Summary:
Total magnetization = 4.1 μB/cell
N(E_F) = 5.22 states/eV/f.u.

***

Pick arrangement one: it beats the second-best structure by 0.034 eV/atom.

***

Arrangement one

FePIr3: optimized geometry, GGA-PBE.

Cell lengths 4.3619, 4.3619, 4.3619 Å; angles 90.00, 90.00, 90.00 degrees
Atoms (fractional coordinates):
Fe1 0.0000 0.0000 0.0000
P1 0.5000 0.5000 0.5000
Ir1 0.0000 0.5000 0.5000
Ir2 0.5000 0.0000 0.5000
Ir3 0.5000 0.5000 0.0000

Summary:
Total magnetization = 0.3 μB/cell
N(E_F) = 12.27 states/eV/f.u.

***

Arrangement two

FePIr3: optimized geometry, GGA-PBE.

Cell lengths 4.4455, 4.4455, 4.4455 Å; angles 90.00, 90.00, 90.00 degrees
Atoms (fractional coordinates):
Fe1 0.0000 0.0000 0.0000
P1 0.5000 0.5000 0.5000
Ir1 0.0000 0.0000 0.5000
Ir2 0.0000 0.5000 0.0000
Ir3 0.5000 0.0000 0.0000

Summary:
Total magnetization = 0.0 μB/cell
N(E_F) = 7.97 states/eV/f.u.

***

Pick arrangement one: it beats the second-best structure by 0.666 eV/atom.

***

Arrangement one

FePIrS2: optimized geometry, GGA-PBE.

Cell lengths 4.8482, 4.8482, 4.3566 Å; angles 90.00, 90.00, 90.00 degrees
Atoms (fractional coordinates):
Fe1 0.0000 0.0000 0.0000
P1 0.5000 0.5000 0.0000
Ir1 0.5000 0.5000 0.5000
S1 0.0000 0.5000 0.5000
S2 0.5000 0.0000 0.5000

Summary:
Total magnetization = 3.8 μB/cell
N(E_F) = 6.88 states/eV/f.u.

***

Arrangement two

FePIrS2: optimized geometry, GGA-PBE.

Cell lengths 4.3175, 4.3175, 4.2340 Å; angles 90.00, 90.00, 90.00 degrees
Atoms (fractional coordinates):
Fe1 0.0000 0.0000 0.0000
P1 0.0000 0.0000 0.5000
Ir1 0.5000 0.5000 0.5000
S1 0.0000 0.5000 0.0000
S2 0.5000 0.0000 0.0000

Summary:
Total magnetization = 0.9 μB/cell
N(E_F) = 4.15 states/eV/f.u.

***

Pick arrangement two: it beats the second-best structure by 0.023 eV/atom.

***

Arrangement one

Fe2IrPd2: optimized geometry, GGA-PBE.

Cell lengths 4.4073, 4.4073, 4.7414 Å; angles 90.00, 90.00, 118.90 degrees
Atoms (fractional coordinates):
Fe1 0.0000 0.0000 0.2485
Fe2 0.0000 0.0000 0.7515
Ir1 0.5000 0.5000 0.5000
Pd1 0.3321 0.6679 0.0000
Pd2 0.6679 0.3321 0.0000

Summary:
Total magnetization = 6.6 μB/cell
N(E_F) = 5.53 states/eV/f.u.

***

Arrangement two

Fe2IrPd2: optimized geometry, GGA-PBE.

Cell lengths 5.9830, 5.9830, 3.9025 Å; angles 90.00, 90.00, 90.00 degrees
Atoms (fractional coordinates):
Fe1 0.1211 0.3789 0.0000
Fe2 0.3789 0.8789 0.0000
Fe3 0.6211 0.1211 0.0000
Fe4 0.8789 0.6211 0.0000
Ir1 0.0000 0.0000 0.0000
Ir2 0.5000 0.5000 0.0000
Pd1 0.1742 0.6742 0.5000
Pd2 0.3258 0.1742 0.5000
Pd3 0.6742 0.8258 0.5000
Pd4 0.8258 0.3258 0.5000

Summary:
Total magnetization = 0.0 μB/cell
N(E_F) = 9.12 states/eV/f.u.

***

Pick arrangement two: it beats the second-best structure by 0.064 eV/atom.

***

Arrangement one

FeIrPd: optimized geometry, GGA-PBE.

Cell lengths 2.7292, 2.7292, 6.5456 Å; angles 90.00, 90.00, 120.00 degrees
Atoms (fractional coordinates):
Fe1 0.0000 0.0000 0.0000
Ir1 0.3333 0.6667 0.6862
Pd1 0.6667 0.3333 0.3254

Summary:
Total magnetization = 3.0 μB/cell
N(E_F) = 3.76 states/eV/f.u.

***

Arrangement two

FeIrPd: optimized geometry, GGA-PBE.

Cell lengths 2.7362, 2.7362, 11.2448 Å; angles 90.00, 90.00, 90.00 degrees
Atoms (fractional coordinates):
Fe1 0.2500 0.2500 0.2442
Fe2 0.7500 0.7500 0.7558
Ir1 0.2500 0.2500 0.9141
Ir2 0.7500 0.7500 0.0859
Pd1 0.2500 0.2500 0.5930
Pd2 0.7500 0.7500 0.4070

Summary:
Total magnetization = 6.1 μB/cell
N(E_F) = 2.91 states/eV/f.u.

***

Pick arrangement two: it beats the second-best structure by 0.063 eV/atom.

***

Arrangement one

Fe2IrPt: optimized geometry, GGA-PBE.

Cell lengths 6.4449, 6.4449, 6.4449 Å; angles 131.54, 131.54, 70.96 degrees
Atoms (fractional coordinates):
Fe1 0.1155 0.6250 0.9905
Fe2 0.3750 0.3655 0.4905
Fe3 0.6345 0.1250 0.0095
Fe4 0.8750 0.8845 0.5095
Ir1 0.0000 0.0000 0.0000
Ir2 0.7500 0.2500 0.5000
Pt1 0.2500 0.7500 0.5000
Pt2 0.5000 0.5000 0.0000

Summary:
Total magnetization = 0.0 μB/cell
N(E_F) = 3.78 states/eV/f.u.

***

Arrangement two

Fe2IrPt: optimized geometry, GGA-PBE.

Cell lengths 2.6717, 4.3770, 4.8492 Å; angles 90.00, 93.73, 90.00 degrees
Atoms (fractional coordinates):
Fe1 0.2224 0.0000 0.2388
Fe2 0.7776 0.0000 0.7612
Ir1 0.5000 0.5000 0.0000
Pt1 0.0000 0.5000 0.5000

Summary:
Total magnetization = 6.9 μB/cell
N(E_F) = 4.07 states/eV/f.u.

***

Pick arrangement two: it beats the second-best structure by 0.942 eV/atom.

***

Arrangement one

FeIrPt2: optimized geometry, GGA-PBE.

Cell lengths 4.7709, 4.7709, 4.7612 Å; angles 100.35, 100.35, 33.44 degrees
Atoms (fractional coordinates):
Fe1 0.0000 0.0000 0.0000
Ir1 0.2603 0.2603 0.7504
Pt1 0.5066 0.5066 0.5097
Pt2 0.7470 0.7470 0.2381

Summary:
Total magnetization = 3.6 μB/cell
N(E_F) = 5.45 states/eV/f.u.

***

Arrangement two

FeIrPt2: optimized geometry, GGA-PBE.

Cell lengths 2.7444, 2.7444, 7.7469 Å; angles 90.00, 90.00, 90.00 degrees
Atoms (fractional coordinates):
Fe1 0.0000 0.0000 0.0000
Ir1 0.0000 0.0000 0.5000
Pt1 0.5000 0.5000 0.2396
Pt2 0.5000 0.5000 0.7604

Summary:
Total magnetization = 3.3 μB/cell
N(E_F) = 5.24 states/eV/f.u.

***

Pick arrangement one: it beats the second-best structure by 0.017 eV/atom.

***

Arrangement one

FeIrPt3: optimized geometry, GGA-PBE.

Cell lengths 4.8114, 4.8114, 4.8114 Å; angles 90.00, 90.00, 90.00 degrees
Atoms (fractional coordinates):
Fe1 0.0000 0.0000 0.0000
Ir1 0.5000 0.5000 0.5000
Pt1 0.0000 0.5000 0.5000
Pt2 0.5000 0.0000 0.5000
Pt3 0.5000 0.5000 0.0000

Summary:
Total magnetization = 0.1 μB/cell
N(E_F) = 13.26 states/eV/f.u.

***

Arrangement two

FeIrPt3: optimized geometry, GGA-PBE.

Cell lengths 4.4993, 4.4993, 4.4993 Å; angles 90.00, 90.00, 90.00 degrees
Atoms (fractional coordinates):
Fe1 0.0000 0.0000 0.0000
Ir1 0.5000 0.5000 0.5000
Pt1 0.0000 0.0000 0.5000
Pt2 0.0000 0.5000 0.0000
Pt3 0.5000 0.0000 0.0000

Summary:
Total magnetization = 3.5 μB/cell
N(E_F) = 6.07 states/eV/f.u.

***

Pick arrangement two: it beats the second-best structure by 0.579 eV/atom.